La3BiRu | PBE | optimized geometry

Calculated values
**DOS at the Fermi energy**: 3.290 states/eV/f.u.
**VASP energy**: -5.8995 eV/atom
**SG**: No. 194
**Total moment**: 0.00 μB per formula unit
**Formation energy**: -0.312 eV/atom

The structure in POSCAR format:
```
La3BiRu
1.0
-3.963 -1.195 -2.472
4.152 -2.302 -0.841
-4.217 -12.241 12.681
Ru Bi La
2 2 6
direct
0.333 0.667 0.750
0.667 0.333 0.250
0.000 0.000 0.000
0.000 0.000 0.500
0.000 0.000 0.250
0.000 0.000 0.750
0.333 0.667 0.902
0.333 0.667 0.598
0.667 0.333 0.402
0.667 0.333 0.098
```